1.
Compound: PmAl2Ag
Source: Alexandria
Functional: PBE
Structure: relaxed

Cell: 3.308 3.308 7.519 Å, 90.00 90.00 90.00°
Space group P4/mmm (No. 123)
Symmetry-distinct sites (fractional):
Pm 0.000 0.000 0.000 (multiplicity 1)
Al 0.500 0.500 0.295 (multiplicity 2)
Ag 0.000 0.000 0.500 (multiplicity 1)

Computed properties:
E_form = -0.209 eV/atom
Crystal system = tetragonal
Final energy = -3.980 eV per atom
Fermi-level density of states = 0.559 states/eV per atom

2.
Compound: Y4HgPt
Source: Alexandria
Functional: PBE
Structure: relaxed

Cell: 13.681 13.681 13.681 Å, 90.00 90.00 90.00°
Space group F-43m (No. 216)
Symmetry-distinct sites (fractional):
Y 0.000 0.000 0.187 (multiplicity 24)
Y 0.060 0.250 0.250 (multiplicity 24)
Y 0.105 0.105 0.605 (multiplicity 16)
Hg 0.163 0.163 0.837 (multiplicity 16)
Pt 0.106 0.106 0.394 (multiplicity 16)

Computed properties:
E_form = -0.668 eV/atom
Crystal system = cubic
Final energy = -6.034 eV per atom
Fermi-level density of states = 0.925 states/eV per atom

3.
Compound: Pr2PaP3
Source: Alexandria
Functional: PBE
Structure: relaxed

Cell: 8.242 11.640 24.656 Å, 90.00 90.00 90.00°
Space group Fddd (No. 70, origin choice 2)
Symmetry-distinct sites (fractional):
Pr 0.125 0.125 0.043 (multiplicity 16)
Pr 0.125 0.125 0.373 (multiplicity 16)
Pa 0.125 0.125 0.541 (multiplicity 16)
P 0.108 0.375 0.875 (multiplicity 16)
P 0.117 0.367 0.712 (multiplicity 32)

Computed properties:
E_form = -1.462 eV/atom
Crystal system = orthorhombic
Final energy = -7.343 eV per atom
Fermi-level density of states = 0.710 states/eV per atom